Record 1
Compound: Cs2TiWBr6
Source: Alexandria via LeMat-Bulk
Functional: GGA-PBE
Structure: optimized geometry

POSCAR file:
```
Cs2TiWBr6
1.0
-3.872 3.872 5.462
3.872 -3.872 5.462
3.872 3.872 -5.462
Cs Ti W Br
2 1 1 6
Cartesian
3.872 0.000 2.731
0.000 3.872 2.731
0.000 0.000 0.000
0.000 0.000 5.462
0.000 0.000 2.734
1.954 1.954 0.000
1.917 -1.917 5.462
-1.917 1.917 5.462
1.917 1.917 5.462
0.000 0.000 8.190
```

Energy relative to the elements, uncorrected (eV per atom): -0.80

=====

Record 2
Compound: Cs4Na2Br
Source: Alexandria via LeMat-Bulk
Functional: GGA-PBE
Structure: optimized geometry

POSCAR file:
```
Cs4Na2Br
1.0
-3.532 3.532 11.065
3.532 -3.532 11.065
3.532 3.532 -11.065
Cs Na Br
4 2 1
Cartesian
3.532 0.000 0.000
0.000 0.000 3.818
0.000 3.532 0.000
0.000 0.000 18.311
0.000 0.000 8.179
0.000 0.000 13.950
0.000 0.000 0.000
```

Energy relative to the elements, uncorrected (eV per atom): -0.45

=====

Record 3
Compound: Y4Re
Source: Alexandria via LeMat-Bulk
Functional: GGA-PBE
Structure: optimized geometry

POSCAR file:
```
Y4Re
1.0
-1.997 1.997 9.060
1.997 -1.997 9.060
1.997 1.997 -9.060
Y Re
4 1
Cartesian
0.000 0.000 1.492
1.997 0.000 4.530
0.000 1.997 4.530
0.000 0.000 16.627
0.000 0.000 9.060
```

Energy of formation (meV per atom): 884
Excess energy over the best structure of this formula in the dataset (meV per atom): 606.4

=====

Record 4
Compound: LiTiCdSn
Source: Alexandria via LeMat-Bulk
Functional: GGA-PBE
Structure: optimized geometry

POSCAR file:
```
LiTiCdSn
1.0
0.000 3.378 3.378
3.378 0.000 3.378
3.378 3.378 0.000
Li Ti Cd Sn
1 1 1 1
Cartesian
0.000 0.000 0.000
3.378 3.378 3.378
1.689 1.689 1.689
5.068 5.068 5.068
```

Energy of formation (meV per atom): -126

=====

Record 5
Compound: Sr2La2P
Source: Alexandria via LeMat-Bulk
Functional: GGA-PBE
Structure: optimized geometry

POSCAR file:
```
Sr2La2P
1.0
7.867 0.000 0.000
0.000 7.867 0.000
0.000 0.000 6.594
Sr La P
4 4 2
Cartesian
1.316 2.618 0.000
2.618 6.551 0.000
5.249 1.316 0.000
6.551 5.249 0.000
1.277 5.211 3.297
2.657 1.277 3.297
5.211 6.590 3.297
6.590 2.657 3.297
0.000 0.000 3.297
3.934 3.934 3.297
```

Energy of formation (meV per atom): -245
Excess energy over the best structure of this formula in the dataset (meV per atom): 0.0

=====

Record 6
Compound: Y2Sn3Pd4
Source: Alexandria via LeMat-Bulk
Functional: GGA-PBE
Structure: optimized geometry

POSCAR file:
```
Y2Sn3Pd4
1.0
3.046 -8.198 0.000
3.046 8.198 0.000
0.000 0.000 7.531
Y Sn Pd
4 6 8
Cartesian
3.046 6.517 6.830
3.046 1.682 3.064
3.046 -1.682 4.466
3.046 -6.517 0.701
0.000 0.000 3.765
1.523 3.894 5.648
1.523 -3.894 1.883
3.046 0.000 0.000
4.568 3.894 5.648
4.568 -3.894 1.883
3.046 5.460 3.915
1.523 1.114 5.648
1.523 -1.114 1.883
3.046 2.738 0.149
3.046 -2.738 7.381
4.568 1.114 5.648
4.568 -1.114 1.883
3.046 -5.460 3.616
```

Energy of formation (meV per atom): -768

=====

Record 7
Compound: Ac2PmAg6
Source: Alexandria via LeMat-Bulk
Functional: GGA-PBE
Structure: optimized geometry

POSCAR file:
```
Ac2PmAg6
1.0
8.414 0.000 0.000
-4.207 7.287 0.000
0.000 0.000 3.829
Ac Pm Ag
2 1 6
Cartesian
0.000 4.858 0.000
4.207 2.429 0.000
0.000 0.000 0.000
-1.388 2.404 1.914
-2.819 4.883 1.914
2.776 0.000 1.914
1.388 2.404 1.914
5.638 0.000 1.914
2.819 4.883 1.914
```

Energy of formation (meV per atom): -271
Excess energy over the best structure of this formula in the dataset (meV per atom): 0.0

=====

Record 8
Compound: CdPCl2
Source: Alexandria via LeMat-Bulk
Functional: GGA-PBE
Structure: optimized geometry

POSCAR file:
```
CdPCl2
1.0
-1.897 1.897 6.279
1.897 -1.897 6.279
1.897 1.897 -6.279
Cd P Cl
1 1 2
Cartesian
0.000 0.000 0.000
0.000 1.897 3.139
1.897 0.000 3.139
0.000 0.000 6.279
```

Excess energy over the best structure of this formula in the dataset (meV per atom): 575.2
Energy relative to the elements, uncorrected (eV per atom): 0.18

=====

Record 9
Compound: Sm8Si3PtI4
Source: Alexandria via LeMat-Bulk
Functional: GGA-PBE
Structure: optimized geometry

POSCAR file:
```
Sm8Si3PtI4
1.0
4.296 2.480 7.583
-4.296 2.480 7.583
0.000 -4.961 7.583
Sm Si Pt I
8 3 1 4
Cartesian
0.000 0.000 5.290
-2.121 -1.225 12.850
0.000 -2.450 9.900
-2.121 1.225 9.900
2.121 -1.225 12.850
0.000 2.450 12.850
2.121 1.225 9.900
0.000 0.000 17.461
-4.296 0.000 11.375
-2.148 1.240 3.792
2.148 1.240 3.792
0.000 0.000 11.375
0.000 0.000 0.000
-2.148 -1.240 7.583
-2.148 1.240 15.167
0.000 2.480 7.583
```

Energy relative to the elements, uncorrected (eV per atom): -0.94

=====

Record 10
Compound: Na2Sr3US6
Source: Alexandria via LeMat-Bulk
Functional: GGA-PBE
Structure: optimized geometry

POSCAR file:
```
Na2Sr3US6
1.0
3.632 -6.274 0.000
3.632 6.274 0.000
-2.414 0.000 6.734
Na Sr U S
2 3 1 6
Cartesian
3.632 4.198 0.000
3.632 -4.198 0.000
-1.207 0.000 3.367
2.425 2.155 3.367
2.425 -2.155 3.367
3.632 0.000 0.000
0.085 1.952 5.137
1.400 0.000 1.583
0.085 -1.952 5.137
4.765 1.952 1.597
3.450 0.000 5.152
4.765 -1.952 1.597
```

Energy relative to the elements, uncorrected (eV per atom): -1.72

=====

Record 11
Compound: Ba2Cd4HgPb3
Source: Alexandria via LeMat-Bulk
Functional: GGA-PBE
Structure: optimized geometry

POSCAR file:
```
Ba2Cd4HgPb3
1.0
4.955 0.000 0.000
0.000 4.955 0.000
0.000 0.000 12.795
Ba Cd Hg Pb
2 4 1 3
Cartesian
0.000 2.478 3.178
2.478 0.000 9.617
0.000 0.000 0.000
0.000 2.478 8.108
2.478 0.000 4.687
2.478 2.478 0.000
0.000 0.000 6.397
0.000 2.478 11.034
2.478 0.000 1.760
2.478 2.478 6.397
```

Energy of formation (meV per atom): -309

=====

Record 12
Compound: YLuTlRu
Source: Alexandria via LeMat-Bulk
Functional: GGA-PBE
Structure: optimized geometry

POSCAR file:
```
YLuTlRu
1.0
0.000 3.561 3.561
3.561 0.000 3.561
3.561 3.561 0.000
Y Lu Tl Ru
1 1 1 1
Cartesian
0.000 0.000 0.000
3.561 3.561 3.561
1.781 1.781 1.781
5.342 5.342 5.342
```

Energy of formation (meV per atom): -269

=====

Record 13
Compound: VPtSe2Br
Source: Alexandria via LeMat-Bulk
Functional: GGA-PBE
Structure: optimized geometry

POSCAR file:
```
VPtSe2Br
1.0
4.789 0.000 0.000
0.000 4.789 0.000
0.000 0.000 4.824
V Pt Se Br
1 1 2 1
Cartesian
0.000 0.000 0.000
2.395 2.395 2.412
0.000 2.395 0.000
2.395 0.000 0.000
0.000 0.000 2.412
```

Excess energy over the best structure of this formula in the dataset (meV per atom): 0.0
Energy relative to the elements, uncorrected (eV per atom): 0.48

=====

Number 1: energy -40.546 eV per formula unit, total magnetization 6.000 μB/f.u.. Number 2: energy -10.855 eV per formula unit, total magnetization 0.001 μB/f.u.. Number 3: energy -33.882 eV per formula unit, total magnetization 0.000 μB/f.u.. Number 4: energy -15.232 eV per formula unit, total magnetization 0.986 μB/f.u.. Number 5: energy -19.852 eV per formula unit, total magnetization 0.961 μB/f.u.. Number 6: energy -52.621 eV per formula unit, total magnetization 0.000 μB/f.u.. Number 7: energy -32.515 eV per formula unit, total magnetization 0.000 μB/f.u.. Number 8: energy -9.297 eV per formula unit, total magnetization 0.000 μB/f.u.. Number 9: energy -81.371 eV per formula unit, total magnetization 0.000 μB/f.u.. Number 10: energy -64.409 eV per formula unit, total magnetization 2.000 μB/f.u.. Number 11: energy -22.023 eV per formula unit, total magnetization 0.000 μB/f.u.. Number 12: energy -23.704 eV per formula unit, total magnetization 0.000 μB/f.u.. Number 13: energy -21.409 eV per formula unit, total magnetization 0.001 μB/f.u..